Entry from the Alexandria database: a relaxed Ag3TeSe2 crystal (PBE-GGA).

```
12
Lattice="4.527 0.000 0.000 0.000 5.682 0.083 -2.264 -0.677 11.903" Properties=species:S:1:pos:R:3 pbc="T T T"
Ag 0.000 4.336 1.880
Ag 2.264 3.579 6.295
Ag 2.264 2.343 1.566
Ag 0.000 2.662 10.420
Ag 2.264 0.669 10.106
Ag 0.000 1.426 5.692
Se 0.000 1.281 0.832
Se 2.264 3.724 11.155
Se 2.264 1.341 4.322
Se 0.000 3.664 7.664
Te 2.264 4.448 3.613
Te 0.000 0.557 8.373
```

**SG**: C2/m (12)
**Total energy**: -3.112 eV per atom
**V**: 306 Å³/cell
**E above lowest polymorph**: 24 meV/atom

Entry from the Alexandria database: a relaxed Ag2TeSe crystal (PBE-GGA).

```
4
Lattice="5.181 0.031 0.054 -1.891 4.616 -0.047 1.399 2.280 3.970" Properties=species:S:1:pos:R:3 pbc="T T T"
Ag 3.290 1.155 2.012
Ag 0.000 0.000 0.000
Se -0.246 3.448 1.962
Te 1.645 2.323 0.004
```

**SG**: C2/m (12)
**Total energy**: -3.039 eV per atom
**V**: 95 Å³/cell
**E above lowest polymorph**: 52 meV/atom

no.,calculated density (g/cm³)
1,6.60
2,7.37